# NdErTmHg

A geometry-optimized NdErTmHg structure (PBE-GGA, the Alexandria database).

```
4
Lattice="3.608 0.000 0.000 0.000 3.608 0.000 0.000 0.000 8.895" Properties=species:S:1:pos:R:3 pbc="T T T"
Nd 0.000 0.000 0.642
Er 1.804 1.804 7.003
Tm 1.804 1.804 3.165
Hg 0.000 0.000 5.064
```

crystal system	tetragonal
total magnetic moment	0.000	Bohr magnetons per cell
formation energy	-0.24	eV/atom
total DFT energy (no corrections)	-3.763	eV per atom